1.
RbYMn2 | PBE | relaxed

Unit cell a=5.3522 b=5.3522 c=10.7330 alpha=75.56 beta=75.56 gamma=90.00
Each line ends with the local moment (μB).
Positions (direct):
Rb  0.5000  0.5000  0.0000  -0.02
Rb  0.2500  0.7500  0.5000  -0.02
Y  0.7500  0.2500  0.5000  -0.48
Y  0.0000  0.0000  0.0000  -0.48
Mn  0.8750  0.1248  0.7500  3.68
Mn  0.8752  0.6250  0.2500  3.55
Mn  0.3750  0.1252  0.7500  3.63
Mn  0.8748  0.1250  0.2500  3.55

Offset from the most stable computed form, eV/atom: 0.127
E_form, eV per atom: 1.156

2.
Ho2HgN | PBE | relaxed

Unit cell a=3.5078 b=3.5078 c=7.9345 alpha=77.23 beta=77.23 gamma=60.00
Positions (direct):
N  0.0000  0.0000  0.0000
Ho  0.2749  0.2749  0.1752
Ho  0.7251  0.7251  0.8248
Hg  0.5000  0.5000  0.5000

Energy relative to the elements, uncorrected, eV per atom: -1.021

Please write out number 1 again, unchanged.
RbYMn2 | PBE | relaxed

Unit cell a=5.3522 b=5.3522 c=10.7330 alpha=75.56 beta=75.56 gamma=90.00
Each line ends with the local moment (μB).
Positions (direct):
Rb  0.5000  0.5000  0.0000  -0.02
Rb  0.2500  0.7500  0.5000  -0.02
Y  0.7500  0.2500  0.5000  -0.48
Y  0.0000  0.0000  0.0000  -0.48
Mn  0.8750  0.1248  0.7500  3.68
Mn  0.8752  0.6250  0.2500  3.55
Mn  0.3750  0.1252  0.7500  3.63
Mn  0.8748  0.1250  0.2500  3.55

Offset from the most stable computed form, eV/atom: 0.127
E_form, eV per atom: 1.156